1.
A plane-wave DFT calculation with GGA-PBE was carried out for a geometry-optimized ReSnPt3 structure.

Cell: 4.890 4.890 4.890 Å, 90.00 90.00 90.00°
Last column: magnetic moment on the atom in μB.
Atoms (fractional coordinates):
Sn (0.000, 0.000, 0.000)  -0.01
Pt (0.500, 0.000, 0.000)  0.09
Pt (0.000, 0.000, 0.500)  0.02
Pt (0.000, 0.500, 0.000)  0.02
Re (0.500, 0.500, 0.500)  3.60

energy of formation: 1.6466 eV per atom
ΔE to the lowest computed polymorph: 0.768 eV/atom

=====

2.
A plane-wave DFT calculation with GGA-PBE was carried out for a geometry-optimized MnZn4Br structure.

Cell: 5.385 5.385 5.385 Å, 60.00 60.00 60.00°
Last column: magnetic moment on the atom in μB.
Atoms (fractional coordinates):
Br (0.750, 0.750, 0.750)  0.07
Mn (0.000, 0.000, 0.000)  4.17
Zn (0.373, 0.373, 0.373)  -0.01
Zn (0.373, 0.373, 0.881)  -0.01
Zn (0.373, 0.881, 0.373)  -0.01
Zn (0.881, 0.373, 0.373)  -0.01

uncorrected formation energy: 0.33 eV per atom

=====

3.
A plane-wave DFT calculation with GGA-PBE was carried out for a geometry-optimized Dy7Y12Pb structure.

Cell: 8.680 8.680 8.680 Å, 87.85 87.85 87.85°
Atoms (fractional coordinates):
Y (0.744, 0.258, 0.133)
Y (0.613, 0.143, 0.501)
Y (0.143, 0.501, 0.613)
Y (0.501, 0.613, 0.143)
Y (0.387, 0.857, 0.499)
Y (0.867, 0.256, 0.742)
Y (0.256, 0.742, 0.867)
Y (0.857, 0.499, 0.387)
Y (0.742, 0.867, 0.256)
Y (0.258, 0.133, 0.744)
Y (0.499, 0.387, 0.857)
Y (0.133, 0.744, 0.258)
Dy (0.146, 0.388, 0.069)
Dy (0.388, 0.069, 0.146)
Dy (0.612, 0.931, 0.854)
Dy (0.854, 0.612, 0.931)
Dy (0.931, 0.854, 0.612)
Dy (0.500, 0.500, 0.500)
Dy (0.069, 0.146, 0.388)
Pb (0.000, 0.000, 0.000)

energy of formation: 0.1570 eV per atom

=====

| no. | uncorrected energy (eV/atom) |
| --- | --- |
| 1 | -5.27 |
| 2 | -2.33 |
| 3 | -5.52 |